No. 1
Pr12Sm5Y2 | PBE | relaxed

Its volume is 678.4 Å³/f.u. For the relative energy among the computed polymorphs, the calculation gives 0.831 eV/f.u. The value obtained for the total magnetization is 0.0 Bohr magnetons per cell. Its formation energy is 0.165 eV/atom.

The structure belongs to space group C2/m (No. 12); the cell edges are 19.4141, 7.6117 and 10.2127 Å and the angles 90.00°, 115.97° and 90.00°. Symmetry generates all atoms from Pr at (0.0073, 0.0000, 0.2150), Pr at (0.0079, 0.5000, 0.3293), Pr at (0.1594, 0.2493, 0.8501), Pr at (0.1653, 0.2398, 0.4986), Sm at (0.0000, 0.0000, 0.5000), Sm at (0.1761, 0.0000, 0.1715), Sm at (0.1792, 0.5000, 0.1976) and Y at (0.0000, 0.2983, 0.0000).


No. 2
Pr4Sm2Y5 | PBE | relaxed

Its volume is 375.2 Å³/f.u. For the relative energy among the computed polymorphs, the calculation gives 0.000 eV/f.u. The value obtained for the total magnetization is 0.0 Bohr magnetons per cell. Its formation energy is 0.098 eV/atom.

The structure belongs to space group C2/m (No. 12); the cell edges are 19.7391, 5.9267 and 6.4348 Å and the angles 90.00°, 94.65° and 90.00°. Symmetry generates all atoms from Pr at (0.0358, 0.0000, 0.2679), Pr at (0.1916, 0.5000, 0.0705), Sm at (0.0974, 0.5000, 0.5433), Y at (0.0000, 0.5000, 0.0000), Y at (0.1318, 0.0000, 0.8478) and Y at (0.2158, 0.0000, 0.3909).


No. 3
Pr10SmY4 | PBE | relaxed

Its volume is 619.1 Å³/f.u. The value obtained for the total magnetization is 0.0 Bohr magnetons per cell. Its formation energy is 0.702 eV/atom.

The structure belongs to space group I4/m (No. 87); the cell edges are 12.5112, 12.5112 and 7.9100 Å and the angles 90.00°, 90.00° and 90.00°. Symmetry generates all atoms from Pr at (0.0000, 0.5000, 0.2500), Pr at (0.0996, 0.7996, 0.2502), Sm at (0.0000, 0.0000, 0.0000) and Y at (0.1005, 0.2998, 0.5000).


No. 4
Pr3Sm4Y8 | PBE | relaxed

Its volume is 519.9 Å³/f.u. The value obtained for the total magnetization is 0.0 Bohr magnetons per cell. Its formation energy is 0.367 eV/atom.

The structure belongs to space group C2/m (No. 12); the cell edges are 13.5964, 12.9628 and 6.8182 Å and the angles 90.00°, 120.08° and 90.00°. Symmetry generates all atoms from Pr at (0.0000, 0.0000, 0.0000), Pr at (0.2500, 0.2500, 0.5000), Sm at (0.0000, 0.5000, 0.0000), Sm at (0.0000, 0.5000, 0.5000), Sm at (0.2500, 0.2500, 0.0000), Y at (0.0000, 0.1419, 0.5000), Y at (0.0000, 0.2463, 0.0000), Y at (0.2333, 0.0000, 0.4973) and Y at (0.2364, 0.0000, 0.9804).


No. 5
Pr2Sm5Y4 | PBE | relaxed

Its volume is 378.2 Å³/f.u. For the relative energy among the computed polymorphs, the calculation gives 0.000 eV/f.u. The value obtained for the total magnetization is 0.0 Bohr magnetons per cell. Its formation energy is 0.153 eV/atom.

The structure belongs to space group C2/m (No. 12); the cell edges are 16.7939, 6.7712 and 6.7988 Å and the angles 90.00°, 101.92° and 90.00°. Symmetry generates all atoms from Pr at (0.1978, 0.0000, 0.3002), Sm at (0.0000, 0.0000, 0.5000), Sm at (0.0867, 0.2663, 0.9068), Y at (0.0909, 0.5000, 0.4138) and Y at (0.2421, 0.0000, 0.8098).


No. 6
Pr8Sm3Y2 | PBE | relaxed

Its volume is 471.1 Å³/f.u. For the relative energy among the computed polymorphs, the calculation gives 0.393 eV/f.u. The value obtained for the total magnetization is 0.0 Bohr magnetons per cell. Its formation energy is 0.201 eV/atom.

The structure belongs to space group C2/m (No. 12); the cell edges are 20.7050, 7.7735 and 5.8535 Å and the angles 90.00°, 90.01° and 90.00°. Symmetry generates all atoms from Pr at (0.1061, 0.2070, 0.9999), Pr at (0.1333, 0.5000, 0.4997), Pr at (0.1734, 0.0000, 0.5002), Sm at (0.0000, 0.2143, 0.5000), Sm at (0.0000, 0.5000, 0.0000) and Y at (0.2410, 0.5000, 0.9996).


No. 7
Pr4Sm3Y3 | PBE | relaxed

Its volume is 346.2 Å³/f.u. The value obtained for the total magnetization is 0.0 Bohr magnetons per cell. Its formation energy is 0.101 eV/atom.

The structure belongs to space group Amm2 (No. 38); the cell edges are 3.8707, 13.3350 and 13.4131 Å and the angles 90.00°, 90.00° and 90.00°. Symmetry generates all atoms from Pr at (0.0000, 0.0000, 0.0000), Pr at (0.0000, 0.0000, 0.2650), Pr at (0.0000, 0.1323, 0.6309), Sm at (0.5000, 0.0000, 0.4639), Sm at (0.5000, 0.1675, 0.1315), Y at (0.0000, 0.2475, 0.8809) and Y at (0.5000, 0.0000, 0.7998).


No. 8
PrSm2Y4 | PBE | relaxed

Its volume is 233.3 Å³/f.u. For the relative energy among the computed polymorphs, the calculation gives 0.000 eV/f.u. The value obtained for the total magnetization is 0.0 Bohr magnetons per cell. Its formation energy is 0.030 eV/atom.

The structure belongs to space group C2/m (No. 12); the cell edges are 16.9202, 3.5824 and 8.8653 Å and the angles 90.00°, 119.73° and 90.00°. Symmetry generates all atoms from Pr at (0.0000, 0.0000, 0.0000), Sm at (0.0692, 0.0000, 0.4288), Y at (0.1447, 0.5000, 0.8399) and Y at (0.2067, 0.5000, 0.2941).


No. 9
Pr2Sm6Y3 | PBE | relaxed

Its volume is 392.5 Å³/f.u. For the relative energy among the computed polymorphs, the calculation gives 1.053 eV/f.u. The value obtained for the total magnetization is 0.0 Bohr magnetons per cell. Its formation energy is 0.266 eV/atom.

The structure belongs to space group I4/mmm (No. 139); the cell edges are 4.8177, 4.8177 and 33.8248 Å and the angles 90.00°, 90.00° and 90.00°. Symmetry generates all atoms from Pr at (0.0000, 0.0000, 0.0459), Sm at (0.0000, 0.0000, 0.1950), Sm at (0.0000, 0.5000, 0.1214), Y at (0.0000, 0.0000, 0.2976) and Y at (0.0000, 0.0000, 0.5000).


No. 10
Pr5Sm4Y2 | PBE | relaxed

Its volume is 384.1 Å³/f.u. For the relative energy among the computed polymorphs, the calculation gives 0.000 eV/f.u. The value obtained for the total magnetization is 0.0 Bohr magnetons per cell. Its formation energy is 0.134 eV/atom.

The structure belongs to space group C2/m (No. 12); the cell edges are 24.4494, 3.5270 and 8.9806 Å and the angles 90.00°, 97.31° and 90.00°. Symmetry generates all atoms from Pr at (0.0000, 0.0000, 0.0000), Pr at (0.1394, 0.5000, 0.1158), Pr at (0.2307, 0.5000, 0.8195), Sm at (0.0457, 0.5000, 0.3624), Sm at (0.1762, 0.0000, 0.4708) and Y at (0.0912, 0.5000, 0.7315).


No. 11
Pr5Sm2Y6 | PBE | relaxed

Its volume is 448.1 Å³/f.u. The value obtained for the total magnetization is 0.0 Bohr magnetons per cell. Its formation energy is 0.090 eV/atom.

The structure belongs to space group Pbam (No. 55); the cell edges are 11.8364, 20.8164 and 3.6375 Å and the angles 90.00°, 90.00° and 90.00°. Symmetry generates all atoms from Pr at (0.0000, 0.0000, 0.0000), Pr at (0.0850, 0.2742, 0.0000), Pr at (0.2005, 0.5494, 0.0000), Sm at (0.1704, 0.7125, 0.5000), Y at (0.0601, 0.4199, 0.5000), Y at (0.0801, 0.1322, 0.5000) and Y at (0.1775, 0.8652, 0.0000).


No. 12
Pr2Sm2Y15 | PBE | relaxed

Its volume is 656.5 Å³/f.u. The value obtained for the total magnetization is 0.0 Bohr magnetons per cell. Its formation energy is 0.288 eV/atom.

The structure belongs to space group R-3m (No. 166, hexagonal axes); the cell edges are 11.3284, 11.3284 and 17.7213 Å and the angles 90.00°, 90.00° and 120.00°. Symmetry generates all atoms from Pr at (0.0000, 0.0000, 0.1162), Sm at (0.0000, 0.0000, 0.3288), Y at (0.0000, 0.3017, 0.0000), Y at (0.0000, 0.5000, 0.5000) and Y at (0.0149, 0.5074, 0.1382).


No. 13
Pr3Sm8Y3 | PBE | relaxed

Its volume is 483.3 Å³/f.u. The value obtained for the total magnetization is 0.0 Bohr magnetons per cell. Its formation energy is 0.099 eV/atom.

The structure belongs to space group Immm (No. 71); the cell edges are 5.7594, 10.9912 and 15.2689 Å and the angles 90.00°, 90.00° and 90.00°. Symmetry generates all atoms from Pr at (0.0000, 0.0000, 0.0000), Pr at (0.0000, 0.5000, 0.3178), Sm at (0.0000, 0.1599, 0.2785), Sm at (0.0000, 0.3396, 0.1028), Y at (0.0000, 0.0000, 0.5000) and Y at (0.0000, 0.2991, 0.5000).


No. 14
PrSm2Y3 | PBE | relaxed

Its volume is 205.1 Å³/f.u. For the relative energy among the computed polymorphs, the calculation gives 0.886 eV/f.u. The value obtained for the total magnetization is 0.0 Bohr magnetons per cell. Its formation energy is 0.212 eV/atom.

The structure belongs to space group Cmc2_1 (No. 36); the cell edges are 9.5865, 13.3271 and 6.4229 Å and the angles 90.00°, 90.00° and 90.00°. Symmetry generates all atoms from Pr at (0.0000, 0.1764, 0.0000), Sm at (0.1810, 0.4420, 0.2229), Y at (0.0000, 0.0813, 0.4741) and Y at (0.1821, 0.3053, 0.6768).


No. 15
PrSm5Y2 | PBE | relaxed

Its volume is 284.7 Å³/f.u. For the relative energy among the computed polymorphs, the calculation gives 1.796 eV/f.u. The value obtained for the total magnetization is 0.0 Bohr magnetons per cell. Its formation energy is 0.239 eV/atom.

The structure belongs to space group P2_1/m (No. 11); the cell edges are 7.2157, 10.0924 and 8.0238 Å and the angles 90.00°, 103.00° and 90.00°. Symmetry generates all atoms from Pr at (0.0737, 0.2500, 0.2765), Sm at (0.2524, 0.5319, 0.9989), Sm at (0.4089, 0.0927, 0.6394), Sm at (0.4351, 0.7500, 0.7229) and Y at (0.0897, 0.5916, 0.3637).


No. 16
Pr3SmY7 | PBE | relaxed

Its volume is 389.0 Å³/f.u. For the relative energy among the computed polymorphs, the calculation gives 0.390 eV/f.u. The value obtained for the total magnetization is 0.0 Bohr magnetons per cell. Its formation energy is 0.175 eV/atom.

The structure belongs to space group P3m1 (No. 156); the cell edges are 7.1559, 7.1559 and 8.7709 Å and the angles 90.00°, 90.00° and 120.00°. Symmetry generates all atoms from Pr at (0.0000, 0.5000, 0.0000), Sm at (0.3333, 0.6667, 0.6617), Y at (0.1674, 0.3347, 0.3368), Y at (0.3347, 0.1673, 0.6623) and Y at (0.6667, 0.3333, 0.3382).


No. 17
PrSm5Y2 | PBE | relaxed

Its volume is 269.3 Å³/f.u. For the relative energy among the computed polymorphs, the calculation gives 0.000 eV/f.u. The value obtained for the total magnetization is 0.0 Bohr magnetons per cell. Its formation energy is 0.015 eV/atom.

The structure belongs to space group Pbam (No. 55); the cell edges are 7.2561, 14.5161 and 5.1126 Å and the angles 90.00°, 90.00° and 90.00°. Symmetry generates all atoms from Pr at (0.0000, 0.0000, 0.0000), Sm at (0.0000, 0.5000, 0.0000), Sm at (0.0008, 0.2507, 0.0000), Sm at (0.2488, 0.6257, 0.5000) and Y at (0.2502, 0.3745, 0.5000).


No. 18
Pr9SmY2 | PBE | relaxed

Its volume is 424.0 Å³/f.u. The value obtained for the total magnetization is 0.0 Bohr magnetons per cell. Its formation energy is 0.012 eV/atom.

The structure belongs to space group P4/mmm (No. 123); the cell edges are 5.2080, 5.2080 and 15.6328 Å and the angles 90.00°, 90.00° and 90.00°. Symmetry generates all atoms from Pr at (0.0000, 0.0000, 0.0000), Pr at (0.0000, 0.0000, 0.3340), Pr at (0.0000, 0.5000, 0.1672), Pr at (0.0000, 0.5000, 0.5000), Sm at (0.5000, 0.5000, 0.0000) and Y at (0.5000, 0.5000, 0.3339).


No. 19
PrSm2Y | PBE | relaxed

Its volume is 136.1 Å³/f.u. For the relative energy among the computed polymorphs, the calculation gives 0.025 eV/f.u. The value obtained for the total magnetization is 0.0 Bohr magnetons per cell. Its formation energy is 0.016 eV/atom.

The structure belongs to space group I-4m2 (No. 119); the cell edges are 5.1578, 5.1578 and 10.2331 Å and the angles 90.00°, 90.00° and 90.00°. Symmetry generates all atoms from Pr at (0.0000, 0.0000, 0.0000), Sm at (0.0000, 0.0000, 0.5000), Sm at (0.0000, 0.5000, 0.2500) and Y at (0.0000, 0.5000, 0.7500).


No. 20
PrSm2Y | PBE | relaxed

Its volume is 136.6 Å³/f.u. For the relative energy among the computed polymorphs, the calculation gives 0.134 eV/f.u. The value obtained for the total magnetization is 0.0 Bohr magnetons per cell. Its formation energy is 0.043 eV/atom.

The structure belongs to space group Amm2 (No. 38); the cell edges are 5.6550, 3.5959 and 13.4338 Å and the angles 90.00°, 90.00° and 90.00°. Symmetry generates all atoms from Pr at (0.0000, 0.0000, 0.0000), Sm at (0.0000, 0.0000, 0.2576), Sm at (0.5000, 0.0000, 0.3826) and Y at (0.5000, 0.0000, 0.6453).